Density functional theory data (GGA-PBE) for crystalline ScZnRh at its relaxed geometry.

Summary:
The density of states at the Fermi level is 2.12 states/eV/cell. The calculation puts the calculated volume at 50.53 Å³ per cell. For the total energy, the calculation gives -5.59 eV/atom. The value obtained for the calculated formation energy is -603 meV/atom.

Unit cell a=4.3622 b=4.3622 c=3.0664 alpha=90.00 beta=90.00 gamma=120.00
Last column: nearest neighbours and their distance in Å.
Fractional coordinates of all 3 atoms:
Zn: 0.6667 0.3333 0.8326  3 Rh 2.52
Sc: 0.3333 0.6667 0.3336  6 Zn 2.95, 6 Rh 2.95, 2 Sc 3.07
Rh: 0.0000 0.0000 0.8338  3 Zn 2.52